# 1
Computed, not measured: an optimized crystal structure of Tb6Sm19Dy4 at the PBE-GGA level of DFT.

a = 10.895 Å, b = 10.895 Å, c = 10.895 Å
α = 109.47°, β = 109.47°, γ = 109.47°
Fractional coordinates of all 29 atoms:
Tb  0.375  0.500  0.875
Tb  0.625  0.500  0.125
Tb  0.125  0.625  0.500
Tb  0.875  0.375  0.500
Tb  0.500  0.875  0.375
Tb  0.500  0.125  0.625
Sm  0.742  0.000  0.742
Sm  0.258  0.000  0.258
Sm  0.258  0.258  0.000
Sm  0.742  0.742  0.000
Sm  0.000  0.742  0.742
Sm  0.000  0.258  0.258
Sm  0.000  0.000  0.000
Sm  0.199  0.219  0.542
Sm  0.801  0.343  0.020
Sm  0.677  0.657  0.458
Sm  0.020  0.801  0.343
Sm  0.323  0.781  0.980
Sm  0.542  0.199  0.219
Sm  0.980  0.323  0.781
Sm  0.458  0.677  0.657
Sm  0.781  0.980  0.323
Sm  0.343  0.020  0.801
Sm  0.219  0.542  0.199
Sm  0.657  0.458  0.677
Dy  0.000  0.000  0.639
Dy  0.000  0.639  0.000
Dy  0.361  0.361  0.361
Dy  0.639  0.000  0.000

Results
* total moment: 0.000 μB per formula unit
* crystal system: cubic
* E: -125.2 eV for the cell shown

# 2
Computed, not measured: an optimized crystal structure of CaMg3Pb3 at the PBE-GGA level of DFT.

a = 8.586 Å, b = 8.586 Å, c = 8.263 Å
α = 58.70°, β = 58.70°, γ = 60.00°
Fractional coordinates of all 14 atoms:
Ca  0.334  0.334  0.999
Ca  0.666  0.666  0.001
Mg  0.473  0.763  0.651
Mg  0.763  0.113  0.651
Mg  0.113  0.473  0.651
Mg  0.887  0.527  0.349
Mg  0.237  0.887  0.349
Mg  0.527  0.237  0.349
Pb  0.236  0.638  0.191
Pb  0.935  0.236  0.191
Pb  0.638  0.935  0.191
Pb  0.362  0.065  0.809
Pb  0.065  0.764  0.809
Pb  0.764  0.362  0.809

Results
* total moment: 0.000 μB per formula unit
* crystal system: trigonal
* E: -36.7 eV for the cell shown